The following is a DFT calculation (SCAN) of CuH3Se at its PBEsol-relaxed geometry.

Structure (extended XYZ):
```
5
Lattice="3.490 0.000 0.000 0.000 3.490 0.000 0.000 0.000 3.490" Properties=species:S:1:pos:R:3 pbc="T T T"
Se 1.745 1.745 1.745
H 0.000 1.745 0.000
H 1.745 0.000 0.000
H 0.000 0.000 1.745
Cu 0.000 0.000 0.000
```

Computed properties:
Density of states at the Fermi level = 1.1 states/eV/cell
Total DFT energy (no corrections) = -8.289 eV/atom